[1]
Here is an optimized crystal structure of SrTeP2Cl from Alexandria via LeMat-Bulk. Energies are from PBE.

a = 5.1006 Å, b = 5.1006 Å, c = 5.4274 Å
α = 90.00°, β = 90.00°, γ = 90.00°
Last column: nearest neighbours and their distance in Å.
Element x y z (fractional)
Sr (0.0000, 0.0000, 0.0000)  4 Cl 3.61, 8 P 3.72
Te (0.5000, 0.5000, 0.5000)  4 P 2.55, 2 Cl 2.71
P (0.0000, 0.5000, 0.5000)  2 Te 2.55
P (0.5000, 0.0000, 0.5000)  2 Te 2.55
Cl (0.5000, 0.5000, 0.0000)  2 Te 2.71

Values from the calculation:
The symmetry is P4/mmm, No. 123. As for the mass density: 3.7 g/cm3. For the uncorrected formation energy, the calculation gives -0.092 eV/atom. The density of states at the Fermi level is 4.06 states/eV per cell.


[2]
Here is an optimized crystal structure of SrTeP2Cl from Alexandria via LeMat-Bulk. Energies are from PBE.

a = 5.9362 Å, b = 5.9362 Å, c = 5.2716 Å
α = 90.00°, β = 90.00°, γ = 90.00°
Last column: nearest neighbours and their distance in Å.
Element x y z (fractional)
Sr (0.0000, 0.0000, 0.0000)  2 Cl 2.64
Te (0.5000, 0.5000, 0.5000)  8 P 3.97, 4 Cl 4.20
P (0.0000, 0.5000, 0.0000)  2 Sr 2.97
P (0.5000, 0.0000, 0.0000)  2 Sr 2.97
Cl (0.0000, 0.0000, 0.5000)  2 Sr 2.64

Values from the calculation:
The symmetry is P4/mmm, No. 123. As for the mass density: 2.8 g/cm3. For the uncorrected formation energy, the calculation gives 0.540 eV/atom. The density of states at the Fermi level is 4.71 states/eV per cell.


[3]
Here is an optimized crystal structure of SrTiP2Cl from Alexandria via LeMat-Bulk. Energies are from PBE.

a = 4.7430 Å, b = 4.7430 Å, c = 5.0577 Å
α = 90.00°, β = 90.00°, γ = 90.00°
Last column: nearest neighbours and their distance in Å.
Element x y z (fractional)
Sr (0.0000, 0.0000, 0.0000)  4 Cl 3.35, 8 P 3.47
Ti (0.5000, 0.5000, 0.5000)  4 P 2.37, 2 Cl 2.53
P (0.0000, 0.5000, 0.5000)  2 Ti 2.37
P (0.5000, 0.0000, 0.5000)  2 Ti 2.37
Cl (0.5000, 0.5000, 0.0000)  2 Ti 2.53

Values from the calculation:
The symmetry is P4/mmm, No. 123. As for the mass density: 3.4 g/cm3. For the uncorrected formation energy, the calculation gives -0.970 eV/atom. The density of states at the Fermi level is 3.08 states/eV per cell.


[4]
Here is an optimized crystal structure of SrTiPCl2 from Alexandria via LeMat-Bulk. Energies are from PBE.

a = 5.3203 Å, b = 5.3203 Å, c = 6.0782 Å
α = 90.00°, β = 90.00°, γ = 90.00°
Last column: nearest neighbours and their distance in Å.
Element x y z (fractional)
Sr (0.0000, 0.0000, 0.0000)  4 Cl 2.66
Ti (0.5000, 0.5000, 0.5000)  4 P 3.76, 8 Cl 4.04
P (0.0000, 0.0000, 0.5000)  2 Sr 3.04
Cl (0.0000, 0.5000, 0.0000)  2 Sr 2.66
Cl (0.5000, 0.0000, 0.0000)  2 Sr 2.66

Values from the calculation:
The symmetry is P4/mmm, No. 123. As for the mass density: 2.3 g/cm3. For the uncorrected formation energy, the calculation gives -0.161 eV/atom. The density of states at the Fermi level is 3.64 states/eV per cell.